Record 1
# KCaPd2 GGA-PBE optimized geometry
# Total magnetization (μB per atom): 0.000
# Density of states at the Fermi level (states/eV per cell): 5.91
# E_form (kJ/mol of atoms): -1.4
data_KCaPd2
_space_group_name_H-M_alt 'I -4 2 d'
_space_group_IT_number 122
_space_group_name_Hall 'I -4 2bw'
_cell_length_a 8.068
_cell_length_b 8.068
_cell_length_c 6.049
_cell_angle_alpha 90.00
_cell_angle_beta 90.00
_cell_angle_gamma 90.00
loop_
_atom_site_label
_atom_site_type_symbol
_atom_site_fract_x
_atom_site_fract_y
_atom_site_fract_z
_atom_site_occupancy
K1 K 0.000 0.000 0.000 1
Ca1 Ca 0.000 0.000 0.500 1
Pd1 Pd 0.232 0.250 0.625 1

Record 2
# MnHN2 GGA-PBE optimized geometry
# Total magnetization (μB per atom): 0.592
# Density of states at the Fermi level (states/eV per cell): 4.76
# Relative energy among the computed polymorphs (meV per atom): 990
data_MnHN2
_space_group_name_H-M_alt 'F m -3 m'
_space_group_IT_number 225
_space_group_name_Hall '-F 4 2 3'
_cell_length_a 4.836
_cell_length_b 4.836
_cell_length_c 4.836
_cell_angle_alpha 90.00
_cell_angle_beta 90.00
_cell_angle_gamma 90.00
loop_
_atom_site_label
_atom_site_type_symbol
_atom_site_fract_x
_atom_site_fract_y
_atom_site_fract_z
_atom_site_occupancy
Mn1 Mn 0.000 0.000 0.000 1
H1 H 0.000 0.000 0.500 1
N1 N 0.250 0.250 0.250 1

Record 3
# VCoRuSe2 GGA-PBE optimized geometry
# Total magnetization (μB per atom): 0.390
# Density of states at the Fermi level (states/eV per cell): 7.91
# Formation energy from raw total energies (meV per atom): 962
data_VCoRuSe2
_space_group_name_H-M_alt 'P 4/m m m'
_space_group_IT_number 123
_space_group_name_Hall '-P 4 2'
_cell_length_a 4.644
_cell_length_b 4.644
_cell_length_c 4.250
_cell_angle_alpha 90.00
_cell_angle_beta 90.00
_cell_angle_gamma 90.00
loop_
_atom_site_label
_atom_site_type_symbol
_atom_site_fract_x
_atom_site_fract_y
_atom_site_fract_z
_atom_site_occupancy
V1 V 0.000 0.000 0.000 1
Co1 Co 0.000 0.000 0.500 1
Ru1 Ru 0.500 0.500 0.500 1
Se1 Se 0.000 0.500 0.000 1

Record 4
# Mg2Be2In GGA-PBE optimized geometry
# Total magnetization (μB per atom): 0.000
# Density of states at the Fermi level (states/eV per cell): 4.39
# Relative energy among the computed polymorphs (meV per atom): 233
# E_form (kJ/mol of atoms): 41.2
data_Mg2Be2In
_space_group_name_H-M_alt 'I 4/m m m'
_space_group_IT_number 139
_space_group_name_Hall '-I 4 2'
_cell_length_a 3.913
_cell_length_b 3.913
_cell_length_c 11.676
_cell_angle_alpha 90.00
_cell_angle_beta 90.00
_cell_angle_gamma 90.00
loop_
_atom_site_label
_atom_site_type_symbol
_atom_site_fract_x
_atom_site_fract_y
_atom_site_fract_z
_atom_site_occupancy
Mg1 Mg 0.000 0.500 0.250 1
Be1 Be 0.000 0.000 0.090 1
In1 In 0.000 0.000 0.500 1

Record 5
# KAl4Mo GGA-PBE optimized geometry
# Total magnetization (μB per atom): 0.171
# Density of states at the Fermi level (states/eV per cell): 11.45
# E_form (kJ/mol of atoms): 35.3
data_KAl4Mo
_space_group_name_H-M_alt 'F -4 3 m'
_space_group_IT_number 216
_space_group_name_Hall 'F -4 2 3'
_cell_length_a 7.625
_cell_length_b 7.625
_cell_length_c 7.625
_cell_angle_alpha 90.00
_cell_angle_beta 90.00
_cell_angle_gamma 90.00
loop_
_atom_site_label
_atom_site_type_symbol
_atom_site_fract_x
_atom_site_fract_y
_atom_site_fract_z
_atom_site_occupancy
K1 K 0.000 0.000 0.000 1
Al1 Al 0.124 0.124 0.376 1
Mo1 Mo 0.250 0.250 0.750 1

Record 6
# SmHo2PuN4 GGA-PBE optimized geometry
# Total magnetization (μB per atom): 0.590
# Density of states at the Fermi level (states/eV per cell): 7.18
# Formation energy from raw total energies (meV per atom): -1536
data_SmHo2PuN4
_space_group_name_H-M_alt 'P 1 2/m 1'
_space_group_IT_number 10
_cell_length_a 6.032
_cell_length_b 3.496
_cell_length_c 6.034
_cell_angle_alpha 90.00
_cell_angle_beta 109.38
_cell_angle_gamma 90.00
loop_
_space_group_symop_operation_xyz
'x,y,z'
'-x,-y,-z'
'-x,y,-z'
'x,-y,z'
loop_
_atom_site_label
_atom_site_type_symbol
_atom_site_fract_x
_atom_site_fract_y
_atom_site_fract_z
_atom_site_occupancy
Sm1 Sm 0.000 0.000 0.000 1
Ho1 Ho 0.500 0.000 0.500 1
Ho2 Ho 0.500 0.500 0.000 1
Pu1 Pu 0.000 0.500 0.500 1
N1 N 0.249 0.000 0.742 1
N2 N 0.253 0.500 0.260 1

Record 7
# Ba3Na2Au GGA-PBE optimized geometry
# Total magnetization (μB per atom): 0.000
# Density of states at the Fermi level (states/eV per cell): 19.00
# E_form (kJ/mol of atoms): -25.1
data_Ba3Na2Au
_space_group_name_H-M_alt 'C m c m'
_space_group_IT_number 63
_space_group_name_Hall '-C 2c 2'
_cell_length_a 19.667
_cell_length_b 6.493
_cell_length_c 9.232
_cell_angle_alpha 90.00
_cell_angle_beta 90.00
_cell_angle_gamma 90.00
loop_
_atom_site_label
_atom_site_type_symbol
_atom_site_fract_x
_atom_site_fract_y
_atom_site_fract_z
_atom_site_occupancy
Ba1 Ba 0.000 0.001 0.250 1
Ba2 Ba 0.120 0.500 0.000 1
Na1 Na 0.203 0.000 0.250 1
Au1 Au 0.000 0.499 0.750 1

Record 8
# NaErAg2 GGA-PBE optimized geometry
# Total magnetization (μB per atom): 0.000
# Density of states at the Fermi level (states/eV per cell): 9.36
# Relative energy among the computed polymorphs (meV per atom): 55
# E_form (kJ/mol of atoms): -9.3
data_NaErAg2
_space_group_name_H-M_alt 'F m -3 m'
_space_group_IT_number 225
_space_group_name_Hall '-F 4 2 3'
_cell_length_a 7.117
_cell_length_b 7.117
_cell_length_c 7.117
_cell_angle_alpha 90.00
_cell_angle_beta 90.00
_cell_angle_gamma 90.00
loop_
_atom_site_label
_atom_site_type_symbol
_atom_site_fract_x
_atom_site_fract_y
_atom_site_fract_z
_atom_site_occupancy
Na1 Na 0.000 0.000 0.000 1
Er1 Er 0.000 0.000 0.500 1
Ag1 Ag 0.250 0.250 0.250 1

Record 9
# Sr3HgSe GGA-PBE optimized geometry
# Total magnetization (μB per atom): 0.000
# Density of states at the Fermi level (states/eV per cell): 4.84
# Relative energy among the computed polymorphs (meV per atom): 0
# Formation energy from raw total energies (meV per atom): -744
data_Sr3HgSe
_space_group_name_H-M_alt 'P m -3 m'
_space_group_IT_number 221
_space_group_name_Hall '-P 4 2 3'
_cell_length_a 5.933
_cell_length_b 5.933
_cell_length_c 5.933
_cell_angle_alpha 90.00
_cell_angle_beta 90.00
_cell_angle_gamma 90.00
loop_
_atom_site_label
_atom_site_type_symbol
_atom_site_fract_x
_atom_site_fract_y
_atom_site_fract_z
_atom_site_occupancy
Sr1 Sr 0.000 0.000 0.500 1
Hg1 Hg 0.500 0.500 0.500 1
Se1 Se 0.000 0.000 0.000 1

Record 10
# CrHgSbI2 GGA-PBE optimized geometry
# Total magnetization (μB per atom): 0.548
# Density of states at the Fermi level (states/eV per cell): 2.79
# Relative energy among the computed polymorphs (meV per atom): 0
# Formation energy from raw total energies (meV per atom): 192
data_CrHgSbI2
_space_group_name_H-M_alt 'P 4/m m m'
_space_group_IT_number 123
_space_group_name_Hall '-P 4 2'
_cell_length_a 5.553
_cell_length_b 5.553
_cell_length_c 5.320
_cell_angle_alpha 90.00
_cell_angle_beta 90.00
_cell_angle_gamma 90.00
loop_
_atom_site_label
_atom_site_type_symbol
_atom_site_fract_x
_atom_site_fract_y
_atom_site_fract_z
_atom_site_occupancy
Cr1 Cr 0.000 0.000 0.000 1
Hg1 Hg 0.500 0.500 0.500 1
Sb1 Sb 0.000 0.000 0.500 1
I1 I 0.000 0.500 0.000 1

Record 11
# B3RhO GGA-PBE optimized geometry
# Total magnetization (μB per atom): 0.000
# Density of states at the Fermi level (states/eV per cell): 3.18
# Relative energy among the computed polymorphs (meV per atom): 152
# Formation energy from raw total energies (meV per atom): 1318
data_B3RhO
_space_group_name_H-M_alt 'P m -3 m'
_space_group_IT_number 221
_space_group_name_Hall '-P 4 2 3'
_cell_length_a 4.009
_cell_length_b 4.009
_cell_length_c 4.009
_cell_angle_alpha 90.00
_cell_angle_beta 90.00
_cell_angle_gamma 90.00
loop_
_atom_site_label
_atom_site_type_symbol
_atom_site_fract_x
_atom_site_fract_y
_atom_site_fract_z
_atom_site_occupancy
B1 B 0.000 0.000 0.500 1
Rh1 Rh 0.000 0.000 0.000 1
O1 O 0.500 0.500 0.500 1

Record 12
# MnTe2Pt GGA-PBE optimized geometry
# Total magnetization (μB per atom): 0.611
# Density of states at the Fermi level (states/eV per cell): 8.08
# Relative energy among the computed polymorphs (meV per atom): 349
# Formation energy from raw total energies (meV per atom): 111
data_MnTe2Pt
_space_group_name_H-M_alt 'R -3 m'
_space_group_IT_number 166
_space_group_name_Hall '-R 3 2"'
_cell_length_a 3.6271
_cell_length_b 3.6271
_cell_length_c 24.8078
_cell_angle_alpha 90.00
_cell_angle_beta 90.00
_cell_angle_gamma 120.00
loop_
_atom_site_label
_atom_site_type_symbol
_atom_site_fract_x
_atom_site_fract_y
_atom_site_fract_z
_atom_site_occupancy
Mn1 Mn 0.0000 0.0000 0.0000 1
Te1 Te 0.0000 0.0000 0.3974 1
Pt1 Pt 0.0000 0.0000 0.5000 1